This record from Alexandria via LeMat-Bulk describes Sr3VO6 after structural relaxation. The functional is GGA+U.

Values from the calculation:
The calculation puts the uncorrected energy at -6.580 eV per atom. Its density of states at the Fermi level is 0.711 states/eV per atom. The value obtained for the total magnetization is 1.08 μB/f.u. Its energy above the lowest structure with this stoichiometry is 115 meV per atom. For the theoretical density, the calculation gives 4.6 Mg/m³.

Unit cell a=5.8325 b=6.0840 c=10.1714 alpha=90.00 beta=124.99 gamma=90.00
Last column: nearest neighbours and their distance in Å.
Space group P2_1/c (No. 14)
Inequivalent atoms, fractional coordinates:
Sr (0.0000, 0.0000, 0.0000) [2 per cell]  6 O 2.44-2.49
Sr (0.2612, 0.0523, 0.7445) [4 per cell]  5 O 2.51-2.68
V (0.5000, 0.0000, 0.5000) [2 per cell]  6 O 1.90-1.93
O (0.1839, 0.0449, 0.2847) [4 per cell]  1 V 1.91
O (0.2806, 0.6757, 0.0434) [4 per cell]  1 V 1.90
O (0.3946, 0.2426, 0.0638) [4 per cell]  1 V 1.93